[1]
# YTcW2

YTcW2 after structural relaxation (PBE-GGA, the Alexandria database).

Cell lengths 2.858, 2.858, 9.314 Å; angles 90.00, 90.00, 110.79 degrees
Element x y z (fractional)
Y (0.000, 0.000, 0.000)
Tc (0.500, 0.500, 0.264)
W (0.000, 0.000, 0.487)
W (0.500, 0.500, 0.718)

Properties
**Volume**: 17.78 Å³/atom
**Energy relative to the elements**: 0.337 eV per atom
**Energy relative to the lowest polymorph listed for this composition**: 0.42 eV per formula unit
**Total moment**: 0.00 μB per cell
**Calculated total energy**: -10.347 eV per atom
**Fermi-level density of states**: 0.74 states/eV per atom

***

[2]
# YTcW2

YTcW2 after structural relaxation (PBE-GGA, the Alexandria database).

Cell lengths 3.123, 3.123, 7.571 Å; angles 90.00, 90.00, 90.00 degrees
Element x y z (fractional)
Y (0.000, 0.000, 0.000)
Tc (0.000, 0.000, 0.500)
W (0.500, 0.500, 0.296)
W (0.500, 0.500, 0.704)

Properties
**Volume**: 18.46 Å³/atom
**Energy relative to the elements**: 0.355 eV per atom
**Energy relative to the lowest polymorph listed for this composition**: 0.49 eV per formula unit
**Total moment**: 0.00 μB per cell
**Calculated total energy**: -10.330 eV per atom
**Fermi-level density of states**: 0.86 states/eV per atom

***

Please write out number 1 again, unchanged.
# YTcW2

YTcW2 after structural relaxation (PBE-GGA, the Alexandria database).

Cell lengths 2.858, 2.858, 9.314 Å; angles 90.00, 90.00, 110.79 degrees
Element x y z (fractional)
Y (0.000, 0.000, 0.000)
Tc (0.500, 0.500, 0.264)
W (0.000, 0.000, 0.487)
W (0.500, 0.500, 0.718)

Properties
**Volume**: 17.78 Å³/atom
**Energy relative to the elements**: 0.337 eV per atom
**Energy relative to the lowest polymorph listed for this composition**: 0.42 eV per formula unit
**Total moment**: 0.00 μB per cell
**Calculated total energy**: -10.347 eV per atom
**Fermi-level density of states**: 0.74 states/eV per atom

***

Copy entry 1 word for word.
# YTcW2

YTcW2 after structural relaxation (PBE-GGA, the Alexandria database).

Cell lengths 2.858, 2.858, 9.314 Å; angles 90.00, 90.00, 110.79 degrees
Element x y z (fractional)
Y (0.000, 0.000, 0.000)
Tc (0.500, 0.500, 0.264)
W (0.000, 0.000, 0.487)
W (0.500, 0.500, 0.718)

Properties
**Volume**: 17.78 Å³/atom
**Energy relative to the elements**: 0.337 eV per atom
**Energy relative to the lowest polymorph listed for this composition**: 0.42 eV per formula unit
**Total moment**: 0.00 μB per cell
**Calculated total energy**: -10.347 eV per atom
**Fermi-level density of states**: 0.74 states/eV per atom

***

What is the formula in the second record? YTcW2